Ti2MoOF | SCAN | PBEsol geometry

Cell lengths 4.6042, 4.6042, 3.9584 Å; angles 90.00, 90.00, 90.00 degrees
Last column: nearest neighbours and their distance in Å.
Atoms (fractional coordinates):
Ti 0.0000 0.5000 0.0000  2 Mo 2.30
Ti 0.5000 0.0000 0.0000  2 Mo 2.30
Mo 0.0000 0.0000 0.0000  2 F 1.98
O 0.5000 0.5000 0.5000  8 Ti 3.04, 4 F 3.26
F 0.0000 0.0000 0.5000  2 Mo 1.98

- Final energy: -15.115 eV/atom
- Theoretical density: 4.5 g cm⁻³
- Space group: P4/mmm
- E_form (uncorrected): 0.23 eV/atom

=====

Li4Ti3Mn2Cu3O16 | SCAN | PBEsol geometry

Cell lengths 5.7805, 5.7805, 9.3056 Å; angles 91.11, 91.11, 60.33 degrees
Last column: nearest neighbours and their distance in Å.
Atoms (fractional coordinates):
Li 0.0000 0.0000 0.0000  3 O 1.77-1.94
Li 0.0105 0.0105 0.5081  2 O 1.78-1.89
Li 0.3498 0.3498 0.4111  4 O 1.90-1.95
Li 0.6800 0.6800 0.9073  4 O 1.92-1.93
Ti 0.1864 0.1864 0.7328  6 O 1.91-2.05
Ti 0.3558 0.8513 0.2271  6 O 1.91-1.99
Ti 0.8513 0.3558 0.2271  6 O 1.91-1.99
Mn 0.3545 0.3545 0.9946  6 O 1.84-2.05
Mn 0.6812 0.6812 0.5037  6 O 1.80-1.99
Cu 0.1823 0.6695 0.7198  6 O 1.90-2.12
Cu 0.6695 0.1823 0.7198  6 O 1.90-2.12
Cu 0.8426 0.8426 0.2205  6 O 1.91-2.12
O 0.0113 0.0113 0.8100  1 Li 1.77, 2 Cu 1.90, 1 Ti 1.91
O 0.0129 0.0129 0.3174  1 Li 1.78, 1 Cu 1.91, 2 Ti 1.93
O 0.0548 0.4837 0.8664  1 Mn 1.91, 1 Li 1.93, 1 Ti 1.93, 1 Cu 2.11
O 0.1869 0.1869 0.1171  2 Ti 1.98, 1 Mn 2.05, 1 Li 2.14
O 0.2034 0.6705 0.1053  1 Mn 1.88, 1 Li 1.94, 1 Ti 1.99
O 0.3418 0.3418 0.6147  1 Li 1.90, 2 Cu 1.91, 1 Ti 1.92
O 0.3642 0.8501 0.6066  1 Mn 1.87, 1 Li 1.99, 1 Ti 2.05
O 0.4837 0.0548 0.8664  1 Mn 1.91, 1 Li 1.93, 1 Ti 1.93, 1 Cu 2.11
O 0.4902 0.4902 0.8640  1 Mn 1.84, 1 Li 1.93, 2 Cu 2.04
O 0.5256 0.9698 0.3648  1 Ti 1.91, 1 Li 1.95, 1 Mn 1.95, 1 Cu 2.10
O 0.5357 0.5357 0.3547  1 Li 1.94, 1 Mn 1.99, 2 Ti 1.99
O 0.6705 0.2034 0.1053  1 Mn 1.88, 1 Li 1.94, 1 Ti 1.99
O 0.6762 0.6762 0.1131  1 Li 1.92, 1 Cu 1.92, 2 Ti 1.94
O 0.8415 0.8415 0.5964  1 Mn 1.80, 1 Li 1.89
O 0.8501 0.3642 0.6066  1 Mn 1.87, 1 Li 1.99, 1 Ti 2.05
O 0.9698 0.5256 0.3648  1 Ti 1.91, 1 Li 1.95, 1 Mn 1.95, 1 Cu 2.10

- Final energy: -10.729 eV/atom
- Theoretical density: 4.5 g cm⁻³
- Space group: Cm
- E_form (uncorrected): -2.18 eV/atom

=====

LaCd2Ir | SCAN | PBEsol geometry

Cell lengths 4.9250, 4.9250, 4.9250 Å; angles 60.00, 60.00, 60.00 degrees
Last column: nearest neighbours and their distance in Å.
Atoms (fractional coordinates):
La 0.0000 0.0000 0.0000  8 Cd 3.02
Cd 0.2500 0.2500 0.2500  4 La 3.02, 4 Ir 3.02
Cd 0.7500 0.7500 0.7500  4 La 3.02, 4 Ir 3.02
Ir 0.5000 0.5000 0.5000  8 Cd 3.02

- Final energy: -43.861 eV/atom
- Theoretical density: 10.9 g cm⁻³
- Space group: Fm-3m
- Calculated formation energy: -0.41 eV per formula unit

=====

| no. | N(E_F) (states/eV/atom) |
| --- | --- |
| 1 | 0.7343 |
| 2 | 0.2028 |
| 3 | 1.1061 |